Entry 1:
Here is a relaxed ErTaAl4 crystal from the Alexandria database. Energies are from GGA-PBE.

The energy of formation from the pure elements comes out at -1.914 eV/f.u.

```
ErTaAl4
1.0
0.000 3.756 3.756
3.756 0.000 3.756
3.756 3.756 0.000
Er Ta Al
1 1 4
direct
0.000 0.000 0.000
0.250 0.250 0.250
0.127 0.624 0.624
0.624 0.127 0.624
0.624 0.624 0.127
0.624 0.624 0.624
```

***

Entry 2:
Here is a relaxed ErTaAl2 crystal from the Alexandria database. Energies are from GGA-PBE.

Its distance to the lowest polymorph of the same formula is 0 meV/atom. The energy of formation from the pure elements comes out at -0.682 eV/f.u.

```
ErTaAl2
1.0
3.505 0.000 0.000
0.000 3.505 0.000
0.000 0.000 6.379
Er Ta Al
1 1 2
direct
0.000 0.000 0.000
0.000 0.000 0.500
0.500 0.500 0.295
0.500 0.500 0.705
```

***

Entry 3:
Here is a relaxed ErTaAl2 crystal from the Alexandria database. Energies are from GGA-PBE.

Its distance to the lowest polymorph of the same formula is 177 meV/atom. The energy of formation from the pure elements comes out at 0.024 eV/f.u.

```
ErTaAl2
1.0
1.528 0.882 9.851
-1.528 0.882 9.851
0.000 -1.764 9.851
Er Ta Al
1 1 2
direct
0.000 0.000 0.000
0.500 0.500 0.500
0.243 0.243 0.243
0.757 0.757 0.757
```

***

Entry 4:
Here is a relaxed Er6Ta4Al43 crystal from the Alexandria database. Energies are from GGA-PBE.

The energy of formation from the pure elements comes out at -16.103 eV/f.u.

```
Er6Ta4Al43
1.0
11.105 0.000 0.000
-5.553 9.617 0.000
0.000 0.000 17.742
Er Ta Al
12 8 86
direct
0.000 0.470 0.097
0.000 0.470 0.403
0.000 0.530 0.597
0.000 0.530 0.903
0.470 0.000 0.097
0.470 0.000 0.403
0.470 0.470 0.597
0.470 0.470 0.903
0.530 0.000 0.597
0.530 0.000 0.903
0.530 0.530 0.097
0.530 0.530 0.403
0.000 0.000 0.000
0.000 0.000 0.500
0.000 0.274 0.250
0.000 0.726 0.750
0.274 0.000 0.250
0.274 0.274 0.750
0.726 0.000 0.750
0.726 0.726 0.250
0.000 0.148 0.750
0.000 0.159 0.115
0.000 0.159 0.385
0.000 0.256 0.529
0.000 0.256 0.971
0.000 0.744 0.029
0.000 0.744 0.471
0.000 0.841 0.615
0.000 0.841 0.885
0.000 0.852 0.250
0.148 0.000 0.750
0.148 0.148 0.250
0.150 0.555 0.250
0.150 0.594 0.750
0.158 0.396 0.662
0.158 0.396 0.838
0.158 0.763 0.162
0.158 0.763 0.338
0.159 0.000 0.115
0.159 0.000 0.385
0.159 0.159 0.615
0.159 0.159 0.885
0.237 0.396 0.162
0.237 0.396 0.338
0.237 0.842 0.662
0.237 0.842 0.838
0.247 0.494 0.000
0.247 0.494 0.500
0.247 0.753 0.000
0.247 0.753 0.500
0.256 0.000 0.529
0.256 0.000 0.971
0.256 0.256 0.029
0.256 0.256 0.471
0.333 0.667 0.125
0.333 0.667 0.375
0.333 0.667 0.625
0.333 0.667 0.875
0.396 0.158 0.662
0.396 0.158 0.838
0.396 0.237 0.162
0.396 0.237 0.338
0.406 0.555 0.750
0.406 0.850 0.250
0.445 0.594 0.250
0.445 0.850 0.750
0.494 0.247 0.000
0.494 0.247 0.500
0.506 0.753 0.000
0.506 0.753 0.500
0.555 0.150 0.250
0.555 0.406 0.750
0.594 0.150 0.750
0.594 0.445 0.250
0.604 0.763 0.662
0.604 0.763 0.838
0.604 0.842 0.162
0.604 0.842 0.338
0.667 0.333 0.125
0.667 0.333 0.375
0.667 0.333 0.625
0.667 0.333 0.875
0.744 0.000 0.029
0.744 0.000 0.471
0.744 0.744 0.529
0.744 0.744 0.971
0.753 0.247 0.000
0.753 0.247 0.500
0.753 0.506 0.000
0.753 0.506 0.500
0.763 0.158 0.162
0.763 0.158 0.338
0.763 0.604 0.662
0.763 0.604 0.838
0.841 0.000 0.615
0.841 0.000 0.885
0.841 0.841 0.115
0.841 0.841 0.385
0.842 0.237 0.662
0.842 0.237 0.838
0.842 0.604 0.162
0.842 0.604 0.338
0.850 0.406 0.250
0.850 0.445 0.750
0.852 0.000 0.250
0.852 0.852 0.750
```

***

Entry 5:
Here is a relaxed Tb4Er4Al crystal from the Alexandria database. Energies are from GGA-PBE.

The energy of formation from the pure elements comes out at -0.274 eV/f.u.

```
Tb4Er4Al
1.0
-5.236 5.236 2.411
5.236 -5.236 2.411
5.236 5.236 -2.411
Tb Er Al
4 4 1
direct
0.159 0.159 0.318
0.159 0.841 0.000
0.841 0.159 0.000
0.841 0.841 0.682
0.167 0.500 0.667
0.500 0.167 0.667
0.500 0.833 0.333
0.833 0.500 0.333
0.500 0.500 0.000
```

***

Entry 6:
Here is a relaxed TbEr7Al4 crystal from the Alexandria database. Energies are from GGA-PBE.

The energy of formation from the pure elements comes out at -0.555 eV/f.u.

```
TbEr7Al4
1.0
6.882 -2.724 0.000
6.882 2.724 0.000
-5.879 0.000 8.519
Tb Er Al
1 7 4
direct
0.000 0.000 0.000
0.065 0.065 0.390
0.214 0.214 0.877
0.298 0.298 0.355
0.500 0.500 0.000
0.702 0.702 0.645
0.786 0.786 0.123
0.935 0.935 0.610
0.323 0.323 0.667
0.445 0.445 0.236
0.555 0.555 0.764
0.677 0.677 0.333
```

***

Entry 7:
Here is a relaxed TbEr6Al2 crystal from the Alexandria database. Energies are from GGA-PBE.

The energy of formation from the pure elements comes out at -1.540 eV/f.u.

```
TbEr6Al2
1.0
6.210 -1.815 0.000
6.210 1.815 0.000
-3.708 0.000 11.067
Tb Er Al
1 6 2
direct
0.000 0.000 0.000
0.020 0.020 0.333
0.310 0.310 0.413
0.312 0.312 0.125
0.688 0.688 0.875
0.690 0.690 0.587
0.980 0.980 0.667
0.352 0.352 0.792
0.648 0.648 0.208
```

***

Entry 8:
Here is a relaxed TbEr5Al2 crystal from the Alexandria database. Energies are from GGA-PBE.

The energy of formation from the pure elements comes out at -0.784 eV/f.u.

```
TbEr5Al2
1.0
-1.750 5.078 6.201
1.750 -5.078 6.201
1.750 5.078 -6.201
Tb Er Al
1 5 2
direct
0.000 0.000 0.000
0.137 0.363 0.773
0.410 0.637 0.773
0.500 0.000 0.500
0.590 0.363 0.227
0.863 0.637 0.227
0.242 0.742 0.500
0.758 0.258 0.500
```

***

Entry 9:
Here is a relaxed Tb2Er3Al3 crystal from the Alexandria database. Energies are from GGA-PBE.

Its distance to the lowest polymorph of the same formula is 19 meV/atom. The energy of formation from the pure elements comes out at -2.188 eV/f.u.

```
Tb2Er3Al3
1.0
4.766 0.000 0.000
0.000 4.768 0.000
0.000 0.000 8.798
Tb Er Al
2 3 3
direct
0.000 0.000 0.230
0.000 0.000 0.770
0.000 0.500 0.500
0.500 0.500 0.225
0.500 0.500 0.775
0.000 0.500 0.000
0.500 0.000 0.000
0.500 0.000 0.500
```

***

Entry 10:
Here is a relaxed Tb9Er4Al11 crystal from the Alexandria database. Energies are from GGA-PBE.

The energy of formation from the pure elements comes out at -7.752 eV/f.u.

```
Tb9Er4Al11
1.0
7.694 -11.137 0.000
7.694 11.137 0.000
0.000 0.000 3.375
Tb Er Al
9 4 11
direct
0.000 0.000 0.000
0.114 0.661 0.000
0.296 0.485 0.000
0.339 0.886 0.000
0.485 0.296 0.000
0.515 0.704 0.000
0.661 0.114 0.000
0.704 0.515 0.000
0.886 0.339 0.000
0.091 0.258 0.000
0.258 0.091 0.000
0.742 0.909 0.000
0.909 0.742 0.000
0.087 0.457 0.500
0.121 0.879 0.500
0.294 0.294 0.500
0.314 0.686 0.500
0.457 0.087 0.500
0.500 0.500 0.500
0.543 0.913 0.500
0.686 0.314 0.500
0.706 0.706 0.500
0.879 0.121 0.500
0.913 0.543 0.500
```

***

Entry 11:
Here is a relaxed Tb3Er2Al4 crystal from the Alexandria database. Energies are from GGA-PBE.

The energy of formation from the pure elements comes out at -3.054 eV/f.u.

```
Tb3Er2Al4
1.0
5.109 0.000 0.000
-2.555 4.425 0.000
0.000 0.000 9.698
Tb Er Al
3 2 4
direct
0.000 0.000 0.000
0.333 0.667 0.582
0.667 0.333 0.418
0.333 0.667 0.219
0.667 0.333 0.781
0.000 0.000 0.350
0.000 0.000 0.650
0.333 0.667 0.902
0.667 0.333 0.098
```

***

Entry 12:
Here is a relaxed Tb5Er2Al4 crystal from the Alexandria database. Energies are from GGA-PBE.

The energy of formation from the pure elements comes out at 2.344 eV/f.u.

```
Tb5Er2Al4
1.0
-1.813 6.449 7.151
1.813 -6.449 7.151
1.813 6.449 -7.151
Tb Er Al
5 2 4
direct
0.000 0.000 0.000
0.164 0.346 0.818
0.473 0.654 0.818
0.527 0.346 0.182
0.836 0.654 0.182
0.203 0.703 0.500
0.797 0.297 0.500
0.171 0.500 0.671
0.408 0.908 0.500
0.592 0.092 0.500
0.829 0.500 0.329
```

***

Entry 13:
Here is a relaxed Tb3Er2Al2 crystal from the Alexandria database. Energies are from GGA-PBE.

Its distance to the lowest polymorph of the same formula is 0 meV/atom. The energy of formation from the pure elements comes out at -1.496 eV/f.u.

```
Tb3Er2Al2
1.0
-1.766 1.766 15.180
1.766 -1.766 15.180
1.766 1.766 -15.180
Tb Er Al
3 2 2
direct
0.000 0.000 0.000
0.126 0.126 0.000
0.874 0.874 0.000
0.289 0.289 0.000
0.711 0.711 0.000
0.437 0.437 0.000
0.563 0.563 0.000
```

***

Entry 14:
Here is a relaxed Tb4Er3Al4 crystal from the Alexandria database. Energies are from GGA-PBE.

The energy of formation from the pure elements comes out at -1.832 eV/f.u.

```
Tb4Er3Al4
1.0
-2.562 3.334 8.548
2.562 -3.334 8.548
2.562 3.334 -8.548
Tb Er Al
4 3 4
direct
0.057 0.820 0.237
0.417 0.180 0.237
0.583 0.820 0.763
0.943 0.180 0.763
0.000 0.500 0.500
0.403 0.403 0.000
0.597 0.597 0.000
0.170 0.670 0.500
0.295 0.000 0.295
0.705 0.000 0.705
0.830 0.330 0.500
```

***

Entry 15:
Here is a relaxed Tb5ErAl3 crystal from the Alexandria database. Energies are from GGA-PBE.

The energy of formation from the pure elements comes out at -2.411 eV/f.u.

```
Tb5ErAl3
1.0
7.872 -4.546 0.000
7.872 4.546 0.000
0.000 0.000 6.648
Tb Er Al
10 2 6
direct
0.166 0.166 0.000
0.166 0.166 0.500
0.166 0.500 0.250
0.167 0.833 0.750
0.500 0.166 0.750
0.500 0.834 0.250
0.833 0.167 0.250
0.834 0.500 0.750
0.834 0.834 0.000
0.834 0.834 0.500
0.500 0.500 0.000
0.500 0.500 0.500
0.168 0.500 0.750
0.168 0.832 0.250
0.500 0.168 0.250
0.500 0.832 0.750
0.832 0.168 0.750
0.832 0.500 0.250
```

***

Entry 16:
Here is a relaxed Tb3ErAl8 crystal from the Alexandria database. Energies are from GGA-PBE.

Its distance to the lowest polymorph of the same formula is 0 meV/atom. The energy of formation from the pure elements comes out at -6.209 eV/f.u.

```
Tb3ErAl8
1.0
2.779 1.604 9.119
-2.779 1.604 9.119
0.000 -3.208 9.119
Tb Er Al
3 1 8
direct
0.000 0.000 0.000
0.125 0.125 0.125
0.500 0.500 0.500
0.625 0.625 0.625
0.062 0.562 0.562
0.063 0.063 0.563
0.063 0.563 0.063
0.312 0.312 0.312
0.562 0.062 0.562
0.562 0.562 0.062
0.563 0.063 0.063
0.813 0.813 0.813
```

***

Entry 17:
Here is a relaxed Tb2Er3Al3 crystal from the Alexandria database. Energies are from GGA-PBE.

Its distance to the lowest polymorph of the same formula is 0 meV/atom. The energy of formation from the pure elements comes out at -2.340 eV/f.u.

```
Tb2Er3Al3
1.0
-1.827 2.555 10.746
1.827 -2.555 10.746
1.827 2.555 -10.746
Tb Er Al
2 3 3
direct
0.230 0.230 0.000
0.770 0.770 0.000
0.000 0.000 0.000
0.381 0.881 0.500
0.619 0.119 0.500
0.115 0.615 0.500
0.500 0.500 0.000
0.885 0.385 0.500
```

***

Entry 18:
Here is a relaxed Tb5ErAl6 crystal from the Alexandria database. Energies are from GGA-PBE.

The energy of formation from the pure elements comes out at -4.758 eV/f.u.

```
Tb5ErAl6
1.0
2.547 -7.646 0.000
2.547 7.646 0.000
0.000 0.000 7.233
Tb Er Al
5 1 6
direct
0.000 0.000 0.000
0.332 0.668 0.000
0.334 0.666 0.500
0.666 0.334 0.500
0.668 0.332 0.000
0.000 0.000 0.500
0.166 0.834 0.252
0.166 0.834 0.748
0.500 0.500 0.251
0.500 0.500 0.749
0.834 0.166 0.252
0.834 0.166 0.748
```